P:
First-principles (PBE-GGA) data for an optimized crystal structure of TaAg2W, as listed in Alexandria via LeMat-Bulk.

```
TaAg2W
1.0
5.0287 0.0000 0.0000
0.0000 5.0287 0.0000
0.0000 0.0000 2.7517
Ag W Ta
2 1 1
Direct
0.0000 0.0000 0.0000
0.5000 0.5000 0.0000
0.0000 0.5000 0.5000
0.5000 0.0000 0.5000
```

Calculated values
- Fermi-level density of states (states/eV/atom) = 0.700
- magnetic moment (μB per formula unit) = 0.0

***

Q:
First-principles (PBE-GGA) data for an optimized crystal structure of TaAg2W, as listed in Alexandria via LeMat-Bulk.

```
TaAg2W
1.0
-3.2919 -8.7404 -3.7537
-0.5958 -9.4926 -3.2950
-2.4962 -9.6777 -1.1976
Ag W Ta
2 1 1
Direct
0.9988 0.9988 0.9988
0.5012 0.5012 0.5012
0.2500 0.2500 0.2500
0.7500 0.7500 0.7500
```

Calculated values
- Fermi-level density of states (states/eV/atom) = 0.867
- magnetic moment (μB per formula unit) = 0.0

***

R:
First-principles (PBE-GGA) data for an optimized crystal structure of TaAg2W, as listed in Alexandria via LeMat-Bulk.

```
TaAg2W
1.0
-4.3815 -3.0709 0.1761
-3.1390 -3.2054 2.9209
-3.1725 2.9193 1.5791
Ag W Ta
2 1 1
Direct
0.9975 0.9975 0.0026
0.5025 0.5025 0.4974
0.2500 0.2500 0.2500
0.7500 0.7500 0.7500
```

Calculated values
- Fermi-level density of states (states/eV/atom) = 0.603
- magnetic moment (μB per formula unit) = 0.0

***

S:
First-principles (PBE-GGA) data for an optimized crystal structure of TaAg2W, as listed in Alexandria via LeMat-Bulk.

```
TaAg2W
1.0
-1.4566 3.0545 -0.0570
-0.3470 -0.1027 3.3651
5.5301 2.6493 0.6510
Ag W Ta
2 1 1
Direct
0.0000 0.0000 0.0064
0.5000 0.5000 0.2410
0.5000 0.5000 0.7290
0.0000 0.0000 0.5236
```

Calculated values
- Fermi-level density of states (states/eV/atom) = 0.420
- magnetic moment (μB per formula unit) = 0.0

***

Stability ranking, top entry: S; the second entry is 0.053 eV/atom less favorable.